# SrFe3Se

A relaxed structure of SrFe3Se (PBE-GGA, Alexandria). Values from VASP.

Properties
Its total energy is -3.946 eV per atom. The space-group type is Pm-3m, No. 221.

```
&SYSTEM
  ibrav = 0, nat = 5, ntyp = 3
/
ATOMIC_SPECIES
Se 78.96 Se.upf
Fe 55.84 Fe.upf
Sr 87.62 Sr.upf
ATOMIC_POSITIONS crystal
Se 0.5000 0.5000 0.5000
Fe 0.0000 0.5000 0.0000
Fe 0.0000 0.0000 0.5000
Fe 0.5000 0.0000 0.0000
Sr 0.0000 0.0000 0.0000
CELL_PARAMETERS angstrom
4.8512 0.0000 0.0000
0.0000 4.8512 0.0000
0.0000 0.0000 4.8512
```


# Er2PaN

A relaxed structure of Er2PaN (PBE-GGA, Alexandria). Values from VASP.

Properties
Its total energy is -7.337 eV per atom. The space-group type is R-3m, No. 166.

```
&SYSTEM
  ibrav = 0, nat = 4, ntyp = 3
/
ATOMIC_SPECIES
N 14.01 N.upf
Er 167.26 Er.upf
Pa 231.04 Pa.upf
ATOMIC_POSITIONS crystal
N 0.5000 0.5000 0.5000
Er 0.8822 0.8822 0.3534
Er 0.1178 0.1178 0.6466
Pa 0.0000 0.0000 0.0000
CELL_PARAMETERS angstrom
3.2916 0.0000 0.0000
1.6458 2.8506 0.0000
1.6458 0.9502 9.2988
```


# PmMgH

A relaxed structure of PmMgH (PBE-GGA, Alexandria). Values from VASP.

Properties
Its total energy is -3.520 eV per atom. The space-group type is P4/nmm, No. 129.

```
&SYSTEM
  ibrav = 0, nat = 6, ntyp = 3
/
ATOMIC_SPECIES
H 1.01 H.upf
Pm 145.00 Pm.upf
Mg 24.30 Mg.upf
ATOMIC_POSITIONS crystal
H 0.0000 0.5000 0.8884
H 0.5000 0.0000 0.1116
Pm 0.0000 0.5000 0.1433
Pm 0.5000 0.0000 0.8567
Mg 0.5000 0.0000 0.4019
Mg 0.0000 0.5000 0.5981
CELL_PARAMETERS angstrom
3.4699 0.0000 0.0000
0.0000 3.4699 0.0000
0.0000 0.0000 9.4771
```